CeU4Te8 PBE-GGA optimized geometry; formation energy (no corrections) = -0.627 eV/atom
1.0
0.000 6.396 6.396
6.396 0.000 6.396
6.396 6.396 0.000
Ce U Te
1 4 8
Direct
0.000 0.000 0.000
0.148 0.617 0.617
0.617 0.148 0.617
0.617 0.617 0.148
0.617 0.617 0.617
0.377 0.377 0.377
0.377 0.377 0.868
0.377 0.868 0.377
0.413 0.862 0.862
0.862 0.413 0.862
0.862 0.862 0.413
0.862 0.862 0.862
0.868 0.377 0.377

=====

CeU2Te5 PBE-GGA optimized geometry; formation energy (no corrections) = 0.017 eV/atom
1.0
7.545 0.000 0.000
0.000 7.545 0.000
0.000 0.000 5.412
Ce U Te
1 2 5
Direct
0.000 0.000 0.000
0.000 0.500 0.500
0.500 0.000 0.500
0.000 0.000 0.500
0.279 0.279 0.000
0.279 0.721 0.000
0.721 0.279 0.000
0.721 0.721 0.000

=====

Ce2UTe5 PBE-GGA optimized geometry; formation energy (no corrections) = -1.041 eV/atom
1.0
8.694 0.000 0.000
0.000 13.533 0.000
0.000 0.000 4.435
Ce U Te
4 2 10
Direct
0.036 0.176 0.000
0.464 0.676 0.000
0.536 0.324 0.000
0.964 0.824 0.000
0.000 0.500 0.500
0.500 0.000 0.500
0.000 0.000 0.500
0.174 0.699 0.500
0.178 0.400 0.000
0.322 0.900 0.000
0.326 0.199 0.500
0.500 0.500 0.500
0.674 0.801 0.500
0.678 0.100 0.000
0.822 0.600 0.000
0.826 0.301 0.500

=====

Ce3V5Te12 PBE-GGA optimized geometry; formation energy (no corrections) = -0.561 eV/atom
1.0
-8.539 8.539 8.539
8.539 -8.539 8.539
8.539 8.539 -8.539
Ce V Te
12 20 48
Direct
0.125 0.250 0.375
0.125 0.375 0.750
0.250 0.375 0.125
0.250 0.875 0.625
0.375 0.125 0.250
0.375 0.750 0.125
0.625 0.250 0.875
0.625 0.875 0.750
0.750 0.125 0.375
0.750 0.625 0.875
0.875 0.625 0.250
0.875 0.750 0.625
0.000 0.000 0.000
0.000 0.000 0.500
0.000 0.500 0.000
0.000 0.500 0.500
0.125 0.750 0.875
0.125 0.875 0.250
0.250 0.125 0.875
0.250 0.625 0.375
0.375 0.250 0.625
0.375 0.625 0.750
0.500 0.000 0.000
0.500 0.000 0.500
0.500 0.500 0.000
0.500 0.500 0.500
0.625 0.375 0.250
0.625 0.750 0.375
0.750 0.375 0.625
0.750 0.875 0.125
0.875 0.125 0.750
0.875 0.250 0.125
0.031 0.209 0.118
0.031 0.322 0.913
0.087 0.618 0.409
0.087 0.969 0.678
0.091 0.709 0.678
0.091 0.882 0.413
0.118 0.031 0.209
0.118 0.587 0.909
0.178 0.209 0.591
0.178 0.469 0.587
0.209 0.118 0.031
0.209 0.591 0.178
0.291 0.322 0.909
0.291 0.469 0.382
0.322 0.909 0.291
0.322 0.913 0.031
0.382 0.291 0.469
0.382 0.591 0.913
0.409 0.087 0.618
0.409 0.822 0.791
0.413 0.091 0.882
0.413 0.822 0.531
0.469 0.382 0.291
0.469 0.587 0.178
0.531 0.413 0.822
0.531 0.618 0.709
0.587 0.178 0.469
0.587 0.909 0.118
0.591 0.178 0.209
0.591 0.913 0.382
0.618 0.409 0.087
0.618 0.709 0.531
0.678 0.087 0.969
0.678 0.091 0.709
0.709 0.531 0.618
0.709 0.678 0.091
0.791 0.409 0.822
0.791 0.882 0.969
0.822 0.531 0.413
0.822 0.791 0.409
0.882 0.413 0.091
0.882 0.969 0.791
0.909 0.118 0.587
0.909 0.291 0.322
0.913 0.031 0.322
0.913 0.382 0.591
0.969 0.678 0.087
0.969 0.791 0.882

=====

| no. | total magnetization (μB per formula unit) |
| --- | --- |
| 1 | 12.00 |
| 2 | 6.58 |
| 3 | 4.00 |
| 4 | 13.00 |